Below is crystalline Er5Tl2Pt at its relaxed geometry, with properties calculated at the PBE-GGA level.

space-group type	No. 55

Cell lengths 7.2688, 12.4488, 4.7441 Å; angles 90.00, 90.00, 90.00 degrees
Fractional coordinates of all 16 atoms:
Er 0.0000 0.0000 0.0000
Er 0.1359 0.2885 0.0000
Er 0.1781 0.5803 0.5000
Er 0.3219 0.0803 0.5000
Er 0.3641 0.7885 0.0000
Er 0.5000 0.5000 0.0000
Er 0.6359 0.2115 0.0000
Er 0.6781 0.9197 0.5000
Er 0.8219 0.4197 0.5000
Er 0.8641 0.7115 0.0000
Tl 0.0892 0.8357 0.5000
Tl 0.4108 0.3357 0.5000
Tl 0.5892 0.6643 0.5000
Tl 0.9108 0.1643 0.5000
Pt 0.0000 0.5000 0.0000
Pt 0.5000 0.0000 0.0000

=====

Below is crystalline Er2TlPt at its relaxed geometry, with properties calculated at the PBE-GGA level.

space-group type	No. 123
distance to the lowest polymorph of the same formula	0.0	meV per atom

Cell lengths 3.5497, 3.5497, 7.5692 Å; angles 90.00, 90.00, 90.00 degrees
Fractional coordinates of all 4 atoms:
Er 0.0000 0.0000 0.2179
Er 0.0000 0.0000 0.7821
Tl 0.5000 0.5000 0.5000
Pt 0.5000 0.5000 0.0000

=====

Below is crystalline Er12TlPt6 at its relaxed geometry, with properties calculated at the PBE-GGA level.

space-group type	No. 204

Cell lengths 8.5628, 8.5628, 8.5628 Å; angles 109.47, 109.47, 109.47 degrees
Fractional coordinates of all 19 atoms:
Er 0.1178 0.2983 0.8194
Er 0.1806 0.4789 0.2983
Er 0.1806 0.8822 0.7017
Er 0.2983 0.1806 0.4789
Er 0.2983 0.8194 0.1178
Er 0.4789 0.2983 0.1806
Er 0.5211 0.7017 0.8194
Er 0.7017 0.1806 0.8822
Er 0.7017 0.8194 0.5211
Er 0.8194 0.1178 0.2983
Er 0.8194 0.5211 0.7017
Er 0.8822 0.7017 0.1806
Tl 0.0000 0.0000 0.0000
Pt 0.1394 0.5000 0.6394
Pt 0.3606 0.8606 0.5000
Pt 0.5000 0.3606 0.8606
Pt 0.5000 0.6394 0.1394
Pt 0.6394 0.1394 0.5000
Pt 0.8606 0.5000 0.3606

=====

Below is crystalline ErTlPt4 at its relaxed geometry, with properties calculated at the PBE-GGA level.

space-group type	No. 216

Cell lengths 5.4202, 5.4202, 5.4202 Å; angles 60.00, 60.00, 60.00 degrees
Fractional coordinates of all 6 atoms:
Er 0.0000 0.0000 0.0000
Tl 0.2500 0.2500 0.2500
Pt 0.1257 0.6248 0.6248
Pt 0.6248 0.1257 0.6248
Pt 0.6248 0.6248 0.1257
Pt 0.6248 0.6248 0.6248

=====

Below is crystalline Er8Tl2Pt at its relaxed geometry, with properties calculated at the PBE-GGA level.

space-group type	No. 12

Cell lengths 9.7274, 9.7274, 6.6579 Å; angles 101.79, 101.79, 29.94 degrees
Fractional coordinates of all 11 atoms:
Er 0.0194 0.0194 0.2755
Er 0.2093 0.2093 0.8197
Er 0.3530 0.3530 0.5127
Er 0.4112 0.4112 0.0468
Er 0.5888 0.5888 0.9532
Er 0.6470 0.6470 0.4873
Er 0.7907 0.7907 0.1803
Er 0.9806 0.9806 0.7245
Tl 0.1861 0.1861 0.2597
Tl 0.8139 0.8139 0.7403
Pt 0.5000 0.5000 0.5000

=====

Below is crystalline Er6TlPt at its relaxed geometry, with properties calculated at the PBE-GGA level.

space-group type	No. 2

Cell lengths 7.0278, 7.0405, 7.1889 Å; angles 90.23, 119.01, 119.87 degrees
Fractional coordinates of all 8 atoms:
Er 0.0364 0.0702 0.2572
Er 0.2905 0.7201 0.2568
Er 0.3107 0.5320 0.7433
Er 0.6893 0.4680 0.2567
Er 0.7095 0.2799 0.7432
Er 0.9636 0.9298 0.7428
Tl 0.5000 0.0000 0.0000
Pt 0.5000 0.5000 0.5000

=====

Number 1: E -4.739 eV per atom, energy of formation from the pure elements -540.3 meV/atom, magnetic moment 0.0 μB per formula unit. Number 2: E -5.191 eV per atom, energy of formation from the pure elements -808.0 meV/atom, magnetic moment 0.0 μB per formula unit. Number 3: E -5.774 eV per atom, energy of formation from the pure elements -859.9 meV/atom, magnetic moment 0.0 μB per formula unit. Number 4: E -5.900 eV per atom, energy of formation from the pure elements -717.4 meV/atom, magnetic moment 0.0 μB per formula unit. Number 5: E -4.644 eV per atom, energy of formation from the pure elements -346.4 meV/atom, magnetic moment 0.0 μB per formula unit. Number 6: E -4.645 eV per atom, energy of formation from the pure elements -171.5 meV/atom, magnetic moment 0.0 μB per formula unit.